[1]
## CePm2Pr3Y6 (GGA-PBE)

Data for a relaxed structure of CePm2Pr3Y6.

a b c (Å): 6.293 6.293 11.889
angles (deg): 95.05 95.05 119.99
Fractional positions:
1 Ce 0.000 0.000 0.000
2 Pm 0.333 0.667 0.000
3 Pm 0.667 0.333 0.000
4 Pr 0.167 0.833 0.500
5 Pr 0.500 0.500 0.500
6 Pr 0.833 0.167 0.500
7 Y 0.082 0.413 0.247
8 Y 0.249 0.249 0.753
9 Y 0.413 0.082 0.247
10 Y 0.587 0.918 0.753
11 Y 0.751 0.751 0.247
12 Y 0.918 0.587 0.753

Summary:
The value obtained for the calculated formation energy is 0.37 eV/f.u. The density is 5.735 g/cm³. The crystal system is monoclinic.

[2]
## SrLiLa (GGA-PBE)

Data for a relaxed structure of SrLiLa.

a b c (Å): 5.913 5.913 3.708
angles (deg): 90.00 90.00 120.00
Fractional positions:
1 Sr 0.000 0.000 0.000
2 Li 0.333 0.667 0.824
3 La 0.667 0.333 0.432

Summary:
The value obtained for the calculated formation energy is 0.67 eV/f.u. The density is 3.453 g/cm³. The crystal system is trigonal.

[3]
## AlAgPb (GGA-PBE)

Data for a relaxed structure of AlAgPb.

a b c (Å): 3.162 4.289 10.112
angles (deg): 90.00 91.45 90.00
Fractional positions:
1 Al 0.000 0.000 0.000
2 Al 0.482 0.000 0.757
3 Ag 0.504 0.500 0.091
4 Ag 0.989 0.500 0.833
5 Pb 0.473 0.500 0.547
6 Pb 0.982 0.000 0.293

Summary:
The value obtained for the calculated formation energy is 0.24 eV/f.u. The density is 8.288 g/cm³. The crystal system is monoclinic.

[4]
## Li2NbAsO8 (GGA-PBE)

Data for a relaxed structure of Li2NbAsO8.

a b c (Å): 5.773 5.773 5.289
angles (deg): 90.00 90.00 120.00
Fractional positions:
1 Li 0.333 0.667 0.139
2 Li 0.667 0.333 0.861
3 Nb 0.000 0.000 0.500
4 As 0.000 0.000 0.000
5 O 0.145 0.290 0.228
6 O 0.145 0.855 0.228
7 O 0.290 0.145 0.772
8 O 0.333 0.667 0.745
9 O 0.667 0.333 0.255
10 O 0.710 0.855 0.228
11 O 0.855 0.145 0.772
12 O 0.855 0.710 0.772

Summary:
The value obtained for the formation energy from raw total energies is -1.03 eV/atom. The density is 3.369 g/cm³. The crystal system is trigonal.

[5]
## SmHoAgAu (GGA-PBE)

Data for a relaxed structure of SmHoAgAu.

a b c (Å): 5.155 5.155 5.155
angles (deg): 60.00 60.00 60.00
Fractional positions:
1 Sm 0.000 0.000 0.000
2 Ho 0.500 0.500 0.500
3 Ag 0.750 0.750 0.750
4 Au 0.250 0.250 0.250

Summary:
The value obtained for the calculated formation energy is -2.26 eV/f.u. The density is 10.629 g/cm³. The crystal system is cubic.

[6]
## Sm2AgBiO5 (GGA-PBE)

Data for a relaxed structure of Sm2AgBiO5.

a b c (Å): 6.727 6.727 6.486
angles (deg): 90.00 90.00 90.00
Fractional positions:
1 Sm 0.175 0.325 0.000
2 Sm 0.325 0.825 0.000
3 Sm 0.675 0.175 0.000
4 Sm 0.825 0.675 0.000
5 Ag 0.000 0.000 0.500
6 Ag 0.500 0.500 0.500
7 Bi 0.000 0.500 0.500
8 Bi 0.500 0.000 0.500
9 O 0.000 0.000 0.000
10 O 0.146 0.646 0.229
11 O 0.146 0.646 0.771
12 O 0.354 0.146 0.229
13 O 0.354 0.146 0.771
14 O 0.500 0.500 0.000
15 O 0.646 0.854 0.229
16 O 0.646 0.854 0.771
17 O 0.854 0.354 0.229
18 O 0.854 0.354 0.771

Summary:
The value obtained for the formation energy from raw total energies is -1.90 eV/atom. The density is 7.894 g/cm³. The crystal system is tetragonal.

[7]
## Cs2Sn2SeS2 (GGA-PBE)

Data for a relaxed structure of Cs2Sn2SeS2.

a b c (Å): 7.319 7.319 10.246
angles (deg): 121.44 121.44 32.30
Fractional positions:
1 Cs 0.057 0.057 0.332
2 Cs 0.943 0.943 0.668
3 Sn 0.274 0.274 0.879
4 Sn 0.726 0.726 0.121
5 Se 0.500 0.500 0.000
6 S 0.302 0.302 0.319
7 S 0.698 0.698 0.681

Summary:
The value obtained for the formation energy from raw total energies is -0.78 eV/atom. The density is 4.358 g/cm³. The crystal system is monoclinic.

[8]
## Cs2TlAsCl6 (GGA-PBE)

Data for a relaxed structure of Cs2TlAsCl6.

a b c (Å): 7.876 7.876 7.876
angles (deg): 60.00 60.00 60.00
Fractional positions:
1 Cs 0.250 0.250 0.250
2 Cs 0.750 0.750 0.750
3 Tl 0.000 0.000 0.000
4 As 0.500 0.500 0.500
5 Cl 0.274 0.274 0.726
6 Cl 0.274 0.726 0.274
7 Cl 0.274 0.726 0.726
8 Cl 0.726 0.274 0.274
9 Cl 0.726 0.274 0.726
10 Cl 0.726 0.726 0.274

Summary:
The value obtained for the formation energy from raw total energies is -1.31 eV/atom. The density is 3.643 g/cm³. The crystal system is cubic.

[9]
## SmGePd (GGA-PBE)

Data for a relaxed structure of SmGePd.

a b c (Å): 5.713 5.713 7.240
angles (deg): 128.34 128.34 45.45
Fractional positions:
1 Sm 0.046 0.046 0.306
2 Sm 0.954 0.954 0.694
3 Ge 0.341 0.341 0.901
4 Ge 0.659 0.659 0.099
5 Pd 0.322 0.322 0.274
6 Pd 0.678 0.678 0.726

Summary:
The value obtained for the calculated formation energy is -2.65 eV/f.u. The density is 8.778 g/cm³. The crystal system is monoclinic.

[10]
## MgCd3In2 (GGA-PBE)

Data for a relaxed structure of MgCd3In2.

a b c (Å): 7.228 7.228 4.502
angles (deg): 90.00 90.00 143.16
Fractional positions:
1 Mg 0.000 0.000 0.000
2 Cd 0.163 0.837 0.500
3 Cd 0.500 0.500 0.500
4 Cd 0.837 0.163 0.500
5 In 0.335 0.665 0.000
6 In 0.665 0.335 0.000

Summary:
The value obtained for the calculated formation energy is -0.09 eV/f.u. The density is 6.961 g/cm³. The crystal system is orthorhombic.

[11]
## Ca2YCo (GGA-PBE)

Data for a relaxed structure of Ca2YCo.

a b c (Å): 5.815 5.815 3.628
angles (deg): 90.00 90.00 111.37
Fractional positions:
1 Ca 0.000 0.500 0.000
2 Ca 0.500 0.000 0.000
3 Y 0.000 0.000 0.500
4 Co 0.500 0.500 0.500

Summary:
The value obtained for the calculated formation energy is 2.17 eV/f.u. The density is 3.314 g/cm³. The crystal system is orthorhombic.

[12]
## Ac2NiAg2 (GGA-PBE)

Data for a relaxed structure of Ac2NiAg2.

a b c (Å): 4.198 6.239 11.356
angles (deg): 85.61 79.39 70.40
Fractional positions:
1 Ac 0.064 0.231 0.140
2 Ac 0.203 0.715 0.379
3 Ac 0.797 0.285 0.621
4 Ac 0.936 0.769 0.860
5 Ni 0.276 0.143 0.803
6 Ni 0.724 0.857 0.197
7 Ag 0.370 0.674 0.086
8 Ag 0.484 0.149 0.384
9 Ag 0.516 0.851 0.616
10 Ag 0.630 0.326 0.914

Summary:
The value obtained for the calculated formation energy is -1.30 eV/f.u. The density is 8.786 g/cm³. The crystal system is triclinic.

Please write out number 12 again, unchanged.
## Ac2NiAg2 (GGA-PBE)

Data for a relaxed structure of Ac2NiAg2.

a b c (Å): 4.198 6.239 11.356
angles (deg): 85.61 79.39 70.40
Fractional positions:
1 Ac 0.064 0.231 0.140
2 Ac 0.203 0.715 0.379
3 Ac 0.797 0.285 0.621
4 Ac 0.936 0.769 0.860
5 Ni 0.276 0.143 0.803
6 Ni 0.724 0.857 0.197
7 Ag 0.370 0.674 0.086
8 Ag 0.484 0.149 0.384
9 Ag 0.516 0.851 0.616
10 Ag 0.630 0.326 0.914

Summary:
The value obtained for the calculated formation energy is -1.30 eV/f.u. The density is 8.786 g/cm³. The crystal system is triclinic.